RbGdFeTe3 | PBE-GGA | optimized geometry

Results
- energy above the most stable polymorph in this dataset (eV per atom) = 0.013
- calculated total energy (eV per atom) = -4.77

The structure in CIF format:
```
data_RbGdFeTe3
_chemical_formula_sum 'Rb4 Gd4 Fe4 Te12'
_symmetry_space_group_name_H-M 'P n m a'
_symmetry_Int_Tables_number 62
_cell_length_a 11.573
_cell_length_b 4.393
_cell_length_c 16.483
_cell_angle_alpha 90.00
_cell_angle_beta 90.00
_cell_angle_gamma 90.00
loop_
_symmetry_equiv_pos_as_xyz
'x,y,z'
'-x,-y,-z'
'-x+1/2,-y,z+1/2'
'x+1/2,y,-z+1/2'
'x+1/2,-y+1/2,-z+1/2'
'-x+1/2,y+1/2,z+1/2'
'-x,y+1/2,-z'
'x,-y+1/2,z'
loop_
_atom_site_label
_atom_site_type_symbol
_atom_site_fract_x
_atom_site_fract_y
_atom_site_fract_z
_atom_site_occupancy
Rb1 Rb 0.240 0.250 0.004 1
Gd1 Gd 0.005 0.750 0.252 1
Fe1 Fe 0.246 0.750 0.782 1
Te1 Te 0.060 0.750 0.872 1
Te2 Te 0.071 0.250 0.377 1
Te3 Te 0.246 0.250 0.686 1
```